# 1
Tb2AsCl3: relaxed, PBE.

Output
Magnetic moment (μB per cell): 0.0
V (A^3/atom): 30.91
Electronic total energy (eV/atom): -5.1190
Uncorrected formation energy (kJ/mol of atoms): -181.13

abc: 16.5820 4.2479 13.0399
angles: 90.00 126.14 90.00
Space group C2/m (No. 12)
Asymmetric unit:
Tb 0.1094 0.0000 0.4568 [4 per cell]
Tb 0.1385 0.5000 0.8266 [4 per cell]
As 0.1016 0.0000 0.6681 [4 per cell]
Cl 0.0578 0.5000 0.2776 [4 per cell]
Cl 0.1585 0.0000 0.9959 [4 per cell]
Cl 0.2378 0.5000 0.5920 [4 per cell]

# 2
Tb2AsCl: relaxed, PBE.

Output
Magnetic moment (μB per cell): 0.0
V (A^3/atom): 24.90
Electronic total energy (eV/atom): -5.3523
Uncorrected formation energy (kJ/mol of atoms): -136.35

abc: 4.0362 4.0362 21.1792
angles: 90.00 90.00 120.00
Space group R3m (No. 160, hexagonal axes)
Asymmetric unit:
Tb 0.0000 0.0000 0.0000 [3 per cell]
Tb 0.0000 0.0000 0.1884 [3 per cell]
As 0.0000 0.0000 0.5924 [3 per cell]
Cl 0.0000 0.0000 0.7628 [3 per cell]

# 3
TcAs2Cl: relaxed, PBE.

Output
Energy relative to the lowest polymorph listed for this composition (meV per atom): 735
Magnetic moment (μB per cell): 7.4
V (A^3/atom): 17.56
Electronic total energy (eV/atom): -4.7347
Uncorrected formation energy (kJ/mol of atoms): 62.07

abc: 6.5494 6.5494 6.5494
angles: 90.00 90.00 90.00
Space group Fm-3m (No. 225)
Asymmetric unit:
Tc 0.0000 0.0000 0.0000 [4 per cell]
As 0.2500 0.2500 0.2500 [8 per cell]
Cl 0.0000 0.0000 0.5000 [4 per cell]

# 4
Tc2AsCl: relaxed, PBE.

Output
Energy relative to the lowest polymorph listed for this composition (meV per atom): 687
Magnetic moment (μB per cell): 0.0
V (A^3/atom): 19.78
Electronic total energy (eV/atom): -6.1820
Uncorrected formation energy (kJ/mol of atoms): 60.31

abc: 5.5209 5.5209 10.3856
angles: 90.00 90.00 90.00
Space group I-42d (No. 122)
Asymmetric unit:
Tc 0.2315 0.2500 0.1250 [8 per cell]
As 0.0000 0.0000 0.5000 [4 per cell]
Cl 0.0000 0.0000 0.0000 [4 per cell]

# 5
TcAsCl: relaxed, PBE.

Output
Energy relative to the lowest polymorph listed for this composition (meV per atom): 1012
Magnetic moment (μB per cell): 10.4
V (A^3/atom): 21.54
Electronic total energy (eV/atom): -4.6882
Uncorrected formation energy (kJ/mol of atoms): 89.97

abc: 6.3697 6.3697 6.3697
angles: 90.00 90.00 90.00
Space group F-43m (No. 216)
Asymmetric unit:
Tc 0.0000 0.0000 0.0000 [4 per cell]
As 0.2500 0.2500 0.2500 [4 per cell]
Cl 0.0000 0.0000 0.5000 [4 per cell]

# 6
TcAs2Cl: relaxed, PBE.

Output
Energy relative to the lowest polymorph listed for this composition (meV per atom): 1
Magnetic moment (μB per cell): 0.2
V (A^3/atom): 21.95
Electronic total energy (eV/atom): -5.4690
Uncorrected formation energy (kJ/mol of atoms): -8.79

abc: 7.5843 3.1740 7.7913
angles: 90.00 110.56 90.00
Space group C2/m (No. 12)
Asymmetric unit:
Tc 0.0000 0.0000 0.0000 [2 per cell]
As 0.1456 0.5000 0.8375 [4 per cell]
Cl 0.0000 0.5000 0.5000 [2 per cell]

# 7
Tc2AsCl: relaxed, PBE.

Output
Energy relative to the lowest polymorph listed for this composition (meV per atom): 84
Magnetic moment (μB per cell): 0.0
V (A^3/atom): 18.66
Electronic total energy (eV/atom): -6.7850
Uncorrected formation energy (kJ/mol of atoms): 2.13

abc: 2.9361 2.9361 29.9869
angles: 90.00 90.00 120.00
Space group R3m (No. 160, hexagonal axes)
Asymmetric unit:
Tc 0.0000 0.0000 0.0000 [3 per cell]
Tc 0.0000 0.0000 0.2626 [3 per cell]
As 0.0000 0.0000 0.5301 [3 per cell]
Cl 0.0000 0.0000 0.7279 [3 per cell]

# 8
TcAs2Cl: relaxed, PBE.

Output
Energy relative to the lowest polymorph listed for this composition (meV per atom): 140
Magnetic moment (μB per cell): 0.0
V (A^3/atom): 22.48
Electronic total energy (eV/atom): -5.3294
Uncorrected formation energy (kJ/mol of atoms): 4.68

abc: 3.1108 4.0455 14.2907
angles: 90.00 90.00 90.00
Space group Imm2 (No. 44)
Asymmetric unit:
Tc 0.0000 0.0000 0.0000 [2 per cell]
As 0.0000 0.0000 0.5463 [2 per cell]
As 0.0000 0.5000 0.6516 [2 per cell]
Cl 0.0000 0.5000 0.3603 [2 per cell]

What is the uncorrected formation energy in the third record?
62.07 kJ/mol of atoms

What did the third record say?
TcAs2Cl: relaxed, PBE.

Output
Energy relative to the lowest polymorph listed for this composition (meV per atom): 735
Magnetic moment (μB per cell): 7.4
V (A^3/atom): 17.56
Electronic total energy (eV/atom): -4.7347
Uncorrected formation energy (kJ/mol of atoms): 62.07

abc: 6.5494 6.5494 6.5494
angles: 90.00 90.00 90.00
Space group Fm-3m (No. 225)
Asymmetric unit:
Tc 0.0000 0.0000 0.0000 [4 per cell]
As 0.2500 0.2500 0.2500 [8 per cell]
Cl 0.0000 0.0000 0.5000 [4 per cell]